Record 1
Crystalline Y2HgPb at its relaxed geometry. Source: Alexandria, functional GGA-PBE.

Properties
**Energy**: -0.170 Ha/atom
**E_form**: -0.384 eV/atom

CIF file:
```
data_Y2HgPb
_space_group_name_H-M_alt 'P 1'
_space_group_IT_number 1
_cell_length_a 9.601
_cell_length_b 9.601
_cell_length_c 9.601
_cell_angle_alpha 22.76
_cell_angle_beta 22.76
_cell_angle_gamma 22.76
loop_
_space_group_symop_operation_xyz
'x,y,z'
loop_
_atom_site_label
_atom_site_fract_x
_atom_site_fract_y
_atom_site_fract_z
Y1 0.246 0.246 0.246
Y2 0.754 0.754 0.754
Hg1 0.500 0.500 0.500
Pb1 0.000 0.000 0.000
```


Record 2
Crystalline SeIO3 at its relaxed geometry. Source: Alexandria, functional GGA-PBE.

Properties
**Energy**: -0.135 Ha/atom
**Raw formation energy**: 0.314 eV per atom

CIF file:
```
data_SeIO3
_space_group_name_H-M_alt 'P 1'
_space_group_IT_number 1
_cell_length_a 4.039
_cell_length_b 4.039
_cell_length_c 4.039
_cell_angle_alpha 90.00
_cell_angle_beta 90.00
_cell_angle_gamma 90.00
loop_
_space_group_symop_operation_xyz
'x,y,z'
loop_
_atom_site_label
_atom_site_fract_x
_atom_site_fract_y
_atom_site_fract_z
Se1 0.000 0.000 0.000
I1 0.500 0.500 0.500
O1 0.000 0.000 0.500
O2 0.000 0.500 0.000
O3 0.500 0.000 0.000
```


Record 3
Crystalline KSb2PtI at its relaxed geometry. Source: Alexandria, functional GGA-PBE.

Properties
**Energy**: -0.067 Ha/atom
**Raw formation energy**: 1.551 eV per atom
**Polymorph energy (0 for the lowest one)**: 1730.3 meV per atom

CIF file:
```
data_KSb2PtI
_space_group_name_H-M_alt 'P 1'
_space_group_IT_number 1
_cell_length_a 5.935
_cell_length_b 5.935
_cell_length_c 5.803
_cell_angle_alpha 90.00
_cell_angle_beta 90.00
_cell_angle_gamma 90.00
loop_
_space_group_symop_operation_xyz
'x,y,z'
loop_
_atom_site_label
_atom_site_fract_x
_atom_site_fract_y
_atom_site_fract_z
K1 0.000 0.000 0.000
Sb1 0.000 0.500 0.000
Sb2 0.500 0.000 0.000
Pt1 0.500 0.500 0.500
I1 0.000 0.000 0.500
```


Record 4
Crystalline BaTaP2S at its relaxed geometry. Source: Alexandria, functional GGA-PBE.

Properties
**Energy**: -0.141 Ha/atom
**Raw formation energy**: 1.897 eV per atom
**Polymorph energy (0 for the lowest one)**: 2707.4 meV per atom

CIF file:
```
data_BaTaP2S
_space_group_name_H-M_alt 'P 1'
_space_group_IT_number 1
_cell_length_a 5.321
_cell_length_b 5.321
_cell_length_c 5.456
_cell_angle_alpha 90.00
_cell_angle_beta 90.00
_cell_angle_gamma 90.00
loop_
_space_group_symop_operation_xyz
'x,y,z'
loop_
_atom_site_label
_atom_site_fract_x
_atom_site_fract_y
_atom_site_fract_z
Ba1 0.000 0.000 0.000
Ta1 0.500 0.500 0.500
P1 0.000 0.500 0.000
P2 0.500 0.000 0.000
S1 0.000 0.000 0.500
```


no.,total magnetization (μB per formula unit),DOS at the Fermi energy (states/eV per atom)
1,0.0,0.46
2,0.0,0.78
3,1.0,1.75
4,1.8,0.94